(1)
# CeSmErSn

Crystalline CeSmErSn at its relaxed geometry (PBE, the Alexandria database).

Summary:
theoretical density = 8.6 Mg/m³
density of states at the Fermi level = 7.6 states/eV per cell
space group = No. 216
total moment = 0.6 μB per cell
electronic total energy = -4.995 eV/atom
formation enthalpy at 0 K = -0.190 eV/atom

a b c (Å): 5.4017 5.4017 5.4017
angles (deg): 60.00 60.00 60.00
Positions (direct):
Ce 0.0000 0.0000 0.0000
Sm 0.7500 0.7500 0.7500
Er 0.2500 0.2500 0.2500
Sn 0.5000 0.5000 0.5000

(2)
# TbCeSm6Er2

Crystalline TbCeSm6Er2 at its relaxed geometry (PBE, the Alexandria database).

Summary:
theoretical density = 7.6 Mg/m³
density of states at the Fermi level = 23.0 states/eV per cell
space group = No. 12
total moment = 1.5 μB per cell
electronic total energy = -4.553 eV/atom
formation enthalpy at 0 K = 0.248 eV/atom

a b c (Å): 6.6474 6.6474 8.8520
angles (deg): 102.31 102.31 62.65
Positions (direct):
Tb 0.0000 0.0000 0.0000
Ce 0.5000 0.5000 0.5000
Sm 0.0655 0.5926 0.7000
Sm 0.3726 0.3726 0.0829
Sm 0.4074 0.9345 0.3000
Sm 0.5926 0.0655 0.7000
Sm 0.6274 0.6274 0.9171
Sm 0.9345 0.4074 0.3000
Er 0.0901 0.0901 0.6659
Er 0.9099 0.9099 0.3341

(3)
# Tb3Ce2Sm6Er

Crystalline Tb3Ce2Sm6Er at its relaxed geometry (PBE, the Alexandria database).

Summary:
theoretical density = 7.8 Mg/m³
density of states at the Fermi level = 23.5 states/eV per cell
space group = No. 12
total moment = 2.1 μB per cell
electronic total energy = -4.835 eV/atom
formation enthalpy at 0 K = 0.052 eV/atom

a b c (Å): 6.2063 6.2063 11.8826
angles (deg): 95.02 95.02 120.00
Positions (direct):
Tb 0.0000 0.0000 0.0000
Tb 0.3338 0.6662 0.0000
Tb 0.6662 0.3338 0.0000
Ce 0.1666 0.8334 0.5000
Ce 0.8334 0.1666 0.5000
Sm 0.0813 0.4165 0.2517
Sm 0.2484 0.2484 0.7487
Sm 0.4165 0.0813 0.2517
Sm 0.5835 0.9187 0.7483
Sm 0.7516 0.7516 0.2513
Sm 0.9187 0.5835 0.7483
Er 0.5000 0.5000 0.5000

(4)
# TbCe2Sm3Er6

Crystalline TbCe2Sm3Er6 at its relaxed geometry (PBE, the Alexandria database).

Summary:
theoretical density = 8.4 Mg/m³
density of states at the Fermi level = 20.0 states/eV per cell
space group = No. 12
total moment = 1.8 μB per cell
electronic total energy = -4.792 eV/atom
formation enthalpy at 0 K = 0.044 eV/atom

a b c (Å): 6.1400 6.1400 11.6730
angles (deg): 95.02 95.02 119.99
Positions (direct):
Tb 0.0000 0.0000 0.0000
Ce 0.3335 0.6665 0.0000
Ce 0.6665 0.3335 0.0000
Sm 0.1660 0.8340 0.5000
Sm 0.5000 0.5000 0.5000
Sm 0.8340 0.1660 0.5000
Er 0.0826 0.4180 0.2471
Er 0.2529 0.2529 0.7527
Er 0.4180 0.0826 0.2471
Er 0.5820 0.9174 0.7529
Er 0.7471 0.7471 0.2473
Er 0.9174 0.5820 0.7529

(5)
# Tb6Ce2SmEr3

Crystalline Tb6Ce2SmEr3 at its relaxed geometry (PBE, the Alexandria database).

Summary:
theoretical density = 8.3 Mg/m³
density of states at the Fermi level = 22.6 states/eV per cell
space group = No. 12
total moment = 1.9 μB per cell
electronic total energy = -4.788 eV/atom
formation enthalpy at 0 K = 0.051 eV/atom

a b c (Å): 6.1371 6.1371 11.7530
angles (deg): 95.00 95.00 120.00
Positions (direct):
Tb 0.0800 0.4160 0.7491
Tb 0.2481 0.2481 0.2509
Tb 0.4160 0.0800 0.7491
Tb 0.5840 0.9200 0.2509
Tb 0.7519 0.7519 0.7491
Tb 0.9200 0.5840 0.2509
Ce 0.1667 0.8333 0.0000
Ce 0.8333 0.1667 0.0000
Sm 0.5000 0.5000 0.0000
Er 0.0000 0.0000 0.5000
Er 0.3337 0.6663 0.5000
Er 0.6663 0.3337 0.5000

(6)
# Tb5CeSm2Er

Crystalline Tb5CeSm2Er at its relaxed geometry (PBE, the Alexandria database).

Summary:
theoretical density = 7.8 Mg/m³
density of states at the Fermi level = 31.6 states/eV per cell
space group = No. 36
total moment = 1.2 μB per cell
electronic total energy = -4.623 eV/atom
formation enthalpy at 0 K = 0.165 eV/atom

a b c (Å): 11.1798 11.1798 9.6056
angles (deg): 90.00 90.00 150.37
Positions (direct):
Tb 0.0137 0.9863 0.5000
Tb 0.2677 0.7323 0.8201
Tb 0.3060 0.6940 0.2014
Tb 0.3953 0.6047 0.5343
Tb 0.4715 0.5285 0.2363
Tb 0.5285 0.4715 0.7363
Tb 0.6047 0.3953 0.0343
Tb 0.6940 0.3060 0.7014
Tb 0.7323 0.2677 0.3201
Tb 0.9863 0.0137 0.0000
Ce 0.1906 0.8094 0.5068
Ce 0.8094 0.1906 0.0068
Sm 0.1143 0.8857 0.8118
Sm 0.1325 0.8675 0.1980
Sm 0.8675 0.1325 0.6980
Sm 0.8857 0.1143 0.3118
Er 0.4030 0.5970 0.9198
Er 0.5970 0.4030 0.4198

(7)
# Tb3CeSm6Er2

Crystalline Tb3CeSm6Er2 at its relaxed geometry (PBE, the Alexandria database).

Summary:
theoretical density = 7.9 Mg/m³
density of states at the Fermi level = 19.7 states/eV per cell
space group = No. 12
total moment = 1.3 μB per cell
electronic total energy = -4.735 eV/atom
formation enthalpy at 0 K = 0.037 eV/atom

a b c (Å): 6.2143 6.2143 11.8713
angles (deg): 95.01 95.01 120.00
Positions (direct):
Tb 0.0000 0.0000 0.0000
Tb 0.3327 0.6673 0.0000
Tb 0.6673 0.3327 0.0000
Ce 0.5000 0.5000 0.5000
Sm 0.0854 0.4171 0.2511
Sm 0.2512 0.2512 0.7489
Sm 0.4171 0.0854 0.2511
Sm 0.5829 0.9146 0.7489
Sm 0.7488 0.7488 0.2511
Sm 0.9146 0.5829 0.7489
Er 0.1666 0.8334 0.5000
Er 0.8334 0.1666 0.5000

(8)
# Tb6CeSm3Er2

Crystalline Tb6CeSm3Er2 at its relaxed geometry (PBE, the Alexandria database).

Summary:
theoretical density = 8.1 Mg/m³
density of states at the Fermi level = 19.0 states/eV per cell
space group = No. 12
total moment = 1.2 μB per cell
electronic total energy = -4.715 eV/atom
formation enthalpy at 0 K = 0.034 eV/atom

a b c (Å): 6.1785 6.1785 11.8302
angles (deg): 95.00 95.00 119.98
Positions (direct):
Tb 0.0827 0.4141 0.2471
Tb 0.2490 0.2490 0.7527
Tb 0.4141 0.0827 0.2471
Tb 0.5859 0.9173 0.7529
Tb 0.7510 0.7510 0.2473
Tb 0.9173 0.5859 0.7529
Ce 0.0000 0.0000 0.0000
Sm 0.1674 0.8326 0.5000
Sm 0.5000 0.5000 0.5000
Sm 0.8326 0.1674 0.5000
Er 0.3334 0.6666 0.0000
Er 0.6666 0.3334 0.0000

(9)
# TbCeSm2Er

Crystalline TbCeSm2Er at its relaxed geometry (PBE, the Alexandria database).

Summary:
theoretical density = 7.8 Mg/m³
density of states at the Fermi level = 22.4 states/eV per cell
space group = No. 51
total moment = 2.8 μB per cell
electronic total energy = -4.619 eV/atom
formation enthalpy at 0 K = 0.294 eV/atom

a b c (Å): 5.9470 7.2213 7.6086
angles (deg): 90.00 90.00 90.00
Positions (direct):
Tb 0.2500 0.0000 0.1247
Tb 0.7500 0.0000 0.8753
Ce 0.0000 0.0000 0.5000
Ce 0.5000 0.0000 0.5000
Sm 0.2500 0.2841 0.8193
Sm 0.2500 0.7159 0.8193
Sm 0.7500 0.2841 0.1807
Sm 0.7500 0.7159 0.1807
Er 0.2500 0.5000 0.3591
Er 0.7500 0.5000 0.6409

(10)
# Tb4CeSmEr2

Crystalline Tb4CeSmEr2 at its relaxed geometry (PBE, the Alexandria database).

Summary:
theoretical density = 8.3 Mg/m³
density of states at the Fermi level = 13.4 states/eV per cell
space group = No. 10
total moment = 0.8 μB per cell
electronic total energy = -4.747 eV/atom
formation enthalpy at 0 K = 0.041 eV/atom

a b c (Å): 6.1380 3.5450 11.7972
angles (deg): 90.00 99.92 90.00
Positions (direct):
Tb 0.2461 0.0000 0.2478
Tb 0.2490 0.5000 0.7518
Tb 0.7510 0.5000 0.2482
Tb 0.7539 0.0000 0.7522
Ce 0.0000 0.5000 0.0000
Sm 0.0000 0.0000 0.5000
Er 0.5000 0.0000 0.0000
Er 0.5000 0.5000 0.5000

(11)
# Tb3CeSmEr

Crystalline Tb3CeSmEr at its relaxed geometry (PBE, the Alexandria database).

Summary:
theoretical density = 8.1 Mg/m³
density of states at the Fermi level = 29.2 states/eV per cell
space group = No. 63
total moment = 3.0 μB per cell
electronic total energy = -4.689 eV/atom
formation enthalpy at 0 K = 0.162 eV/atom

a b c (Å): 6.5357 6.5357 11.4730
angles (deg): 90.00 90.00 128.31
Positions (direct):
Tb 0.1415 0.8585 0.7500
Tb 0.3257 0.6743 0.5284
Tb 0.3257 0.6743 0.9716
Tb 0.6743 0.3257 0.0284
Tb 0.6743 0.3257 0.4716
Tb 0.8585 0.1415 0.2500
Ce 0.4723 0.5277 0.2500
Ce 0.5277 0.4723 0.7500
Sm 0.0000 0.0000 0.0000
Sm 0.0000 0.0000 0.5000
Er 0.1711 0.8289 0.2500
Er 0.8289 0.1711 0.7500

(12)
# Tb2CeSmEr5

Crystalline Tb2CeSmEr5 at its relaxed geometry (PBE, the Alexandria database).

Summary:
theoretical density = 8.5 Mg/m³
density of states at the Fermi level = 28.9 states/eV per cell
space group = No. 140
total moment = 2.0 μB per cell
electronic total energy = -4.465 eV/atom
formation enthalpy at 0 K = 0.283 eV/atom

a b c (Å): 9.7433 9.7433 9.7433
angles (deg): 127.31 127.31 77.74
Positions (direct):
Tb 0.1190 0.6190 0.7381
Tb 0.3810 0.1190 0.5000
Tb 0.6190 0.8810 0.5000
Tb 0.8810 0.3810 0.2619
Ce 0.2500 0.7500 0.5000
Ce 0.7500 0.2500 0.5000
Sm 0.2500 0.2500 0.0000
Sm 0.7500 0.7500 0.0000
Er 0.0000 0.0000 0.0000
Er 0.0636 0.1623 0.5000
Er 0.1623 0.6623 0.0987
Er 0.3377 0.4364 0.5000
Er 0.4364 0.9364 0.0987
Er 0.5000 0.5000 0.0000
Er 0.5636 0.0636 0.9013
Er 0.6623 0.5636 0.5000
Er 0.8377 0.3377 0.9013
Er 0.9364 0.8377 0.5000

(13)
# Tb2CeSm6Er3

Crystalline Tb2CeSm6Er3 at its relaxed geometry (PBE, the Alexandria database).

Summary:
theoretical density = 7.9 Mg/m³
density of states at the Fermi level = 19.6 states/eV per cell
space group = No. 12
total moment = 1.3 μB per cell
electronic total energy = -4.728 eV/atom
formation enthalpy at 0 K = 0.038 eV/atom

a b c (Å): 6.2100 6.2100 11.8388
angles (deg): 95.03 95.03 120.01
Positions (direct):
Tb 0.1665 0.8335 0.0000
Tb 0.8335 0.1665 0.0000
Ce 0.5000 0.5000 0.0000
Sm 0.0853 0.4166 0.7488
Sm 0.2520 0.2520 0.2514
Sm 0.4166 0.0853 0.7488
Sm 0.5834 0.9147 0.2512
Sm 0.7480 0.7480 0.7486
Sm 0.9147 0.5834 0.2512
Er 0.0000 0.0000 0.5000
Er 0.3329 0.6671 0.5000
Er 0.6671 0.3329 0.5000

(14)
# Tb2CeSm6Er

Crystalline Tb2CeSm6Er at its relaxed geometry (PBE, the Alexandria database).

Summary:
theoretical density = 7.5 Mg/m³
density of states at the Fermi level = 22.5 states/eV per cell
space group = No. 12
total moment = 1.3 μB per cell
electronic total energy = -4.561 eV/atom
formation enthalpy at 0 K = 0.246 eV/atom

a b c (Å): 6.6743 6.6743 8.8479
angles (deg): 102.88 102.88 62.48
Positions (direct):
Tb 0.0893 0.0893 0.1691
Tb 0.9107 0.9107 0.8309
Ce 0.5000 0.5000 0.0000
Sm 0.0635 0.5901 0.2016
Sm 0.3761 0.3761 0.5841
Sm 0.4099 0.9365 0.7984
Sm 0.5901 0.0635 0.2016
Sm 0.6239 0.6239 0.4159
Sm 0.9365 0.4099 0.7984
Er 0.0000 0.0000 0.5000

(15)
# Tb6Ce2Sm3Er

Crystalline Tb6Ce2Sm3Er at its relaxed geometry (PBE, the Alexandria database).

Summary:
theoretical density = 8.0 Mg/m³
density of states at the Fermi level = 21.3 states/eV per cell
space group = No. 12
total moment = 1.9 μB per cell
electronic total energy = -4.819 eV/atom
formation enthalpy at 0 K = 0.045 eV/atom

a b c (Å): 6.1747 6.1747 11.8042
angles (deg): 95.00 95.00 119.99
Positions (direct):
Tb 0.0823 0.4175 0.7535
Tb 0.2473 0.2473 0.2468
Tb 0.4175 0.0823 0.7535
Tb 0.5825 0.9177 0.2465
Tb 0.7527 0.7527 0.7532
Tb 0.9177 0.5825 0.2465
Ce 0.1664 0.8336 0.0000
Ce 0.8336 0.1664 0.0000
Sm 0.0000 0.0000 0.5000
Sm 0.3339 0.6661 0.5000
Sm 0.6661 0.3339 0.5000
Er 0.5000 0.5000 0.0000

(16)
# TbCeSm2Er5

Crystalline TbCeSm2Er5 at its relaxed geometry (PBE, the Alexandria database).

Summary:
theoretical density = 8.4 Mg/m³
density of states at the Fermi level = 29.1 states/eV per cell
space group = No. 140
total moment = 1.9 μB per cell
electronic total energy = -4.481 eV/atom
formation enthalpy at 0 K = 0.276 eV/atom

a b c (Å): 9.8038 9.8038 9.8038
angles (deg): 128.11 128.11 76.45
Positions (direct):
Tb 0.2500 0.2500 0.0000
Tb 0.7500 0.7500 0.0000
Ce 0.2500 0.7500 0.5000
Ce 0.7500 0.2500 0.5000
Sm 0.1195 0.6195 0.7390
Sm 0.3805 0.1195 0.5000
Sm 0.6195 0.8805 0.5000
Sm 0.8805 0.3805 0.2610
Er 0.0000 0.0000 0.0000
Er 0.0645 0.1568 0.5000
Er 0.1568 0.6568 0.0923
Er 0.3432 0.4355 0.5000
Er 0.4355 0.9355 0.0923
Er 0.5000 0.5000 0.0000
Er 0.5645 0.0645 0.9077
Er 0.6568 0.5645 0.5000
Er 0.8432 0.3432 0.9077
Er 0.9355 0.8432 0.5000

(17)
# Ce3SmEr2Te6

Crystalline Ce3SmEr2Te6 at its relaxed geometry (PBE, the Alexandria database).

Summary:
theoretical density = 7.5 Mg/m³
raw formation energy = -1331 meV per atom
density of states at the Fermi level = 23.0 states/eV per cell
space group = No. 12
total moment = 3.6 μB per cell
electronic total energy = -5.539 eV/atom

a b c (Å): 7.6076 7.6076 7.7673
angles (deg): 99.39 99.39 120.07
Positions (direct):
Ce 0.0000 0.0000 0.0000
Ce 0.3380 0.6620 0.0000
Ce 0.6620 0.3380 0.0000
Sm 0.5000 0.5000 0.5000
Er 0.1676 0.8324 0.5000
Er 0.8324 0.1676 0.5000
Te 0.0794 0.4195 0.2594
Te 0.2378 0.2378 0.7357
Te 0.4195 0.0794 0.2594
Te 0.5805 0.9206 0.7406
Te 0.7622 0.7622 0.2643
Te 0.9206 0.5805 0.7406

(18)
# Ce2SmEr3Te6

Crystalline Ce2SmEr3Te6 at its relaxed geometry (PBE, the Alexandria database).

Summary:
theoretical density = 7.8 Mg/m³
raw formation energy = -1305 meV per atom
density of states at the Fermi level = 16.9 states/eV per cell
space group = No. 12
total moment = 2.6 μB per cell
electronic total energy = -5.399 eV/atom

a b c (Å): 9.8905 9.8905 8.9062
angles (deg): 104.59 104.59 25.39
Positions (direct):
Ce 0.1671 0.1671 0.3345
Ce 0.8329 0.8329 0.6655
Sm 0.5000 0.5000 0.0000
Er 0.1664 0.1664 0.8330
Er 0.5000 0.5000 0.5000
Er 0.8336 0.8336 0.1670
Te 0.0030 0.0030 0.7444
Te 0.3310 0.3310 0.9251
Te 0.3368 0.3368 0.4084
Te 0.6632 0.6632 0.5916
Te 0.6690 0.6690 0.0749
Te 0.9970 0.9970 0.2556

(19)
# Ce3Sm4ErTe8

Crystalline Ce3Sm4ErTe8 at its relaxed geometry (PBE, the Alexandria database).

Summary:
theoretical density = 7.4 Mg/m³
raw formation energy = -1360 meV per atom
density of states at the Fermi level = 26.0 states/eV per cell
space group = No. 166
total moment = 3.6 μB per cell
electronic total energy = -5.508 eV/atom

a b c (Å): 8.8985 8.8985 8.8985
angles (deg): 59.91 59.91 59.91
Positions (direct):
Ce 0.0000 0.5000 0.5000
Ce 0.5000 0.0000 0.5000
Ce 0.5000 0.5000 0.0000
Sm 0.0000 0.0000 0.5000
Sm 0.0000 0.5000 0.0000
Sm 0.5000 0.0000 0.0000
Sm 0.5000 0.5000 0.5000
Er 0.0000 0.0000 0.0000
Te 0.2441 0.7537 0.7537
Te 0.2463 0.2463 0.7559
Te 0.2463 0.7559 0.2463
Te 0.2488 0.2488 0.2488
Te 0.7512 0.7512 0.7512
Te 0.7537 0.2441 0.7537
Te 0.7537 0.7537 0.2441
Te 0.7559 0.2463 0.2463

(20)
# Ce2Sm3Er6Th

Crystalline Ce2Sm3Er6Th at its relaxed geometry (PBE, the Alexandria database).

Summary:
theoretical density = 8.7 Mg/m³
density of states at the Fermi level = 20.2 states/eV per cell
space group = No. 12
total moment = 1.2 μB per cell
electronic total energy = -5.030 eV/atom
formation enthalpy at 0 K = 0.038 eV/atom

a b c (Å): 6.1349 6.1349 11.6416
angles (deg): 95.05 95.05 120.00
Positions (direct):
Ce 0.1667 0.8333 0.0000
Ce 0.8333 0.1667 0.0000
Sm 0.0000 0.0000 0.5000
Sm 0.3333 0.6667 0.5000
Sm 0.6667 0.3333 0.5000
Er 0.0858 0.4179 0.7549
Er 0.2500 0.2500 0.2450
Er 0.4179 0.0858 0.7549
Er 0.5821 0.9142 0.2451
Er 0.7500 0.7500 0.7550
Er 0.9142 0.5821 0.2451
Th 0.5000 0.5000 0.0000